Entry 1:
A PBEsol-optimized structure of LiMg2CoAu. Source: the Alexandria database, functional SCAN.

As for the crystal system: tetragonal.

It has space group P4/mmm (No. 123), with a = 4.530 Å, b = 4.530 Å, c = 4.189 Å, α = 90.00°, β = 90.00° and γ = 90.00°. The inequivalent atoms are Li at (0.000, 0.000, 0.000), Mg at (0.000, 0.500, 0.000), Co at (0.500, 0.500, 0.500) and Au at (0.000, 0.000, 0.500).

=====

Entry 2:
A PBEsol-optimized structure of LiCo2PbAu. Source: the Alexandria database, functional SCAN.

As for the crystal system: tetragonal.

It has space group P4/mmm (No. 123), with a = 4.851 Å, b = 4.851 Å, c = 5.233 Å, α = 90.00°, β = 90.00° and γ = 90.00°. The inequivalent atoms are Li at (0.000, 0.000, 0.000), Co at (0.000, 0.500, 0.500), Pb at (0.500, 0.500, 0.500) and Au at (0.500, 0.500, 0.000).

=====

Per-record total moment, μB per formula unit: 1.90 3.77
Per-record energy relative to the elements, kJ/mol of atoms: 42 96